[1]
A relaxed structure of TbAlGaAu2, computed with GGA-PBE.

POSCAR file:
```
TbAlGaAu2
1.0
-1.878 -0.251 -3.930
0.575 -4.325 0.002
-9.409 -1.249 4.575
Ga Au Al Tb
2 4 2 2
direct
0.500 0.500 0.500
0.000 0.000 0.500
0.500 0.500 0.000
0.000 0.000 0.000
0.500 0.000 0.638
0.000 0.500 0.362
0.000 0.500 0.129
0.500 0.000 0.871
0.000 0.500 0.749
0.500 0.000 0.251
```

***

[2]
A relaxed structure of TbAlGaAu2, computed with GGA-PBE.

POSCAR file:
```
TbAlGaAu2
1.0
4.308 0.000 0.000
0.000 4.308 0.000
0.000 0.000 10.788
Au Al Ga Tb
4 2 2 2
direct
0.500 0.500 0.000
0.000 0.000 0.000
0.000 0.500 0.632
0.500 0.000 0.368
0.000 0.000 0.500
0.500 0.500 0.500
0.500 0.000 0.138
0.000 0.500 0.862
0.000 0.500 0.245
0.500 0.000 0.755
```

***

[3]
A relaxed structure of YAlGaAu2, computed with GGA-PBE.

POSCAR file:
```
YAlGaAu2
1.0
4.293 0.000 0.000
0.000 4.293 0.000
0.000 0.000 10.830
Au Al Ga Y
4 2 2 2
direct
0.000 0.500 0.632
0.500 0.500 0.000
0.000 0.000 0.000
0.500 0.000 0.368
0.500 0.500 0.500
0.000 0.000 0.500
0.500 0.000 0.138
0.000 0.500 0.862
0.000 0.500 0.246
0.500 0.000 0.754
```

***

no.,energy relative to the lowest polymorph listed for this composition (kJ/mol of atoms)
1,0.7
2,0.0
3,0.0